1.
Density functional theory data (GGA-PBE) for a relaxed SmIn2Cu6 crystal.

a = 7.409 Å, b = 7.409 Å, c = 7.409 Å
α = 151.13°, β = 125.11°, γ = 63.21°
Atoms (fractional coordinates):
Sm (0.000, 0.000, 0.000)
In (0.363, 0.863, 0.500)
In (0.637, 0.137, 0.500)
Cu (0.008, 0.320, 0.688)
Cu (0.324, 0.500, 0.824)
Cu (0.368, 0.680, 0.688)
Cu (0.632, 0.320, 0.312)
Cu (0.676, 0.500, 0.176)
Cu (0.992, 0.680, 0.312)

Output
- DOS(E_F) (states/eV/atom) = 0.45
- ΔH_f (0 K) (eV per formula unit) = 0.01
- total magnetization (μB/f.u.) = 0.00

---

2.
Density functional theory data (GGA-PBE) for a relaxed SmIn7Cu5 crystal.

a = 7.274 Å, b = 7.274 Å, c = 7.274 Å
α = 134.63°, β = 98.20°, γ = 98.90°
Atoms (fractional coordinates):
Sm (0.000, 0.000, 0.000)
In (0.178, 0.485, 0.692)
In (0.229, 0.729, 0.500)
In (0.346, 0.346, 0.000)
In (0.352, 0.013, 0.339)
In (0.663, 0.663, 0.000)
In (0.674, 0.013, 0.661)
In (0.793, 0.485, 0.308)
Cu (0.505, 0.507, 0.514)
Cu (0.505, 0.991, 0.998)
Cu (0.764, 0.264, 0.500)
Cu (0.993, 0.507, 0.002)
Cu (0.993, 0.991, 0.486)

Output
- DOS(E_F) (states/eV/atom) = 0.34
- ΔH_f (0 K) (eV per formula unit) = -1.23
- total magnetization (μB/f.u.) = 0.00

---

3.
Density functional theory data (GGA-PBE) for a relaxed Sm7In2Cu2 crystal.

a = 7.008 Å, b = 7.008 Å, c = 7.137 Å
α = 90.00°, β = 90.00°, γ = 108.80°
Atoms (fractional coordinates):
Sm (0.000, 0.000, 0.000)
Sm (0.000, 0.500, 0.257)
Sm (0.000, 0.500, 0.743)
Sm (0.500, 0.000, 0.257)
Sm (0.500, 0.000, 0.743)
Sm (0.500, 0.500, 0.242)
Sm (0.500, 0.500, 0.758)
In (0.172, 0.172, 0.500)
In (0.828, 0.828, 0.500)
Cu (0.293, 0.707, 0.000)
Cu (0.707, 0.293, 0.000)

Output
- DOS(E_F) (states/eV/atom) = 1.23
- ΔH_f (0 K) (eV per formula unit) = -0.75
- total magnetization (μB/f.u.) = 0.00

---

4.
Density functional theory data (GGA-PBE) for a relaxed Sm3In4Cu2 crystal.

a = 6.054 Å, b = 6.054 Å, c = 9.056 Å
α = 111.96°, β = 111.96°, γ = 46.18°
Atoms (fractional coordinates):
Sm (0.000, 0.000, 0.000)
Sm (0.327, 0.327, 0.351)
Sm (0.673, 0.673, 0.649)
In (0.036, 0.036, 0.363)
In (0.270, 0.270, 0.919)
In (0.730, 0.730, 0.081)
In (0.964, 0.964, 0.637)
Cu (0.403, 0.403, 0.729)
Cu (0.597, 0.597, 0.271)

Output
- DOS(E_F) (states/eV/atom) = 0.62
- ΔH_f (0 K) (eV per formula unit) = -3.59
- total magnetization (μB/f.u.) = 0.00

---

5.
Density functional theory data (GGA-PBE) for a relaxed SrSmInCu crystal.

a = 5.401 Å, b = 5.401 Å, c = 5.401 Å
α = 60.00°, β = 60.00°, γ = 60.00°
Atoms (fractional coordinates):
Sr (0.000, 0.000, 0.000)
Sm (0.500, 0.500, 0.500)
In (0.250, 0.250, 0.250)
Cu (0.750, 0.750, 0.750)

Output
- DOS(E_F) (states/eV/atom) = 1.10
- ΔH_f (0 K) (eV per formula unit) = -0.72
- total magnetization (μB/f.u.) = 0.00

---

6.
Density functional theory data (GGA-PBE) for a relaxed SmZrInCu crystal.

a = 5.058 Å, b = 5.058 Å, c = 5.058 Å
α = 60.00°, β = 60.00°, γ = 60.00°
Atoms (fractional coordinates):
Sm (0.000, 0.000, 0.000)
Zr (0.500, 0.500, 0.500)
In (0.250, 0.250, 0.250)
Cu (0.750, 0.750, 0.750)

Output
- DOS(E_F) (states/eV/atom) = 1.00
- ΔH_f (0 K) (eV per formula unit) = -0.50
- total magnetization (μB/f.u.) = 0.72

---

7.
Density functional theory data (GGA-PBE) for a relaxed In12Cu3Sn5 crystal.

a = 14.431 Å, b = 14.431 Å, c = 14.431 Å
α = 109.47°, β = 109.47°, γ = 109.47°
Atoms (fractional coordinates):
In (0.055, 0.627, 0.383)
In (0.055, 0.928, 0.672)
In (0.072, 0.244, 0.127)
In (0.072, 0.328, 0.945)
In (0.117, 0.744, 0.672)
In (0.117, 0.873, 0.445)
In (0.127, 0.072, 0.244)
In (0.127, 0.555, 0.883)
In (0.172, 0.244, 0.617)
In (0.172, 0.428, 0.555)
In (0.244, 0.127, 0.072)
In (0.244, 0.617, 0.172)
In (0.256, 0.328, 0.883)
In (0.256, 0.428, 0.373)
In (0.328, 0.883, 0.256)
In (0.328, 0.945, 0.072)
In (0.373, 0.256, 0.428)
In (0.373, 0.617, 0.945)
In (0.383, 0.055, 0.627)
In (0.383, 0.828, 0.756)
In (0.428, 0.373, 0.256)
In (0.428, 0.555, 0.172)
In (0.445, 0.117, 0.873)
In (0.445, 0.828, 0.572)
In (0.555, 0.172, 0.428)
In (0.555, 0.883, 0.127)
In (0.572, 0.445, 0.828)
In (0.572, 0.627, 0.744)
In (0.617, 0.172, 0.244)
In (0.617, 0.945, 0.373)
In (0.627, 0.383, 0.055)
In (0.627, 0.744, 0.572)
In (0.672, 0.055, 0.928)
In (0.672, 0.117, 0.744)
In (0.744, 0.572, 0.627)
In (0.744, 0.672, 0.117)
In (0.756, 0.383, 0.828)
In (0.756, 0.873, 0.928)
In (0.828, 0.572, 0.445)
In (0.828, 0.756, 0.383)
In (0.873, 0.445, 0.117)
In (0.873, 0.928, 0.756)
In (0.883, 0.127, 0.555)
In (0.883, 0.256, 0.328)
In (0.928, 0.672, 0.055)
In (0.928, 0.756, 0.873)
In (0.945, 0.072, 0.328)
In (0.945, 0.373, 0.617)
Cu (0.125, 0.250, 0.375)
Cu (0.125, 0.375, 0.750)
Cu (0.250, 0.375, 0.125)
Cu (0.250, 0.875, 0.625)
Cu (0.375, 0.125, 0.250)
Cu (0.375, 0.750, 0.125)
Cu (0.625, 0.250, 0.875)
Cu (0.625, 0.875, 0.750)
Cu (0.750, 0.125, 0.375)
Cu (0.750, 0.625, 0.875)
Cu (0.875, 0.625, 0.250)
Cu (0.875, 0.750, 0.625)
Sn (0.000, 0.000, 0.000)
Sn (0.000, 0.000, 0.500)
Sn (0.000, 0.500, 0.000)
Sn (0.000, 0.500, 0.500)
Sn (0.125, 0.750, 0.875)
Sn (0.125, 0.875, 0.250)
Sn (0.250, 0.125, 0.875)
Sn (0.250, 0.625, 0.375)
Sn (0.375, 0.250, 0.625)
Sn (0.375, 0.625, 0.750)
Sn (0.500, 0.000, 0.000)
Sn (0.500, 0.000, 0.500)
Sn (0.500, 0.500, 0.000)
Sn (0.500, 0.500, 0.500)
Sn (0.625, 0.375, 0.250)
Sn (0.625, 0.750, 0.375)
Sn (0.750, 0.375, 0.625)
Sn (0.750, 0.875, 0.125)
Sn (0.875, 0.125, 0.750)
Sn (0.875, 0.250, 0.125)

Output
- DOS(E_F) (states/eV/atom) = 0.52
- ΔH_f (0 K) (eV per formula unit) = 3.17
- total magnetization (μB/f.u.) = 0.00

---

8.
Density functional theory data (GGA-PBE) for a relaxed InCu2Sn2 crystal.

a = 6.446 Å, b = 6.553 Å, c = 6.914 Å
α = 117.77°, β = 90.01°, γ = 119.46°
Atoms (fractional coordinates):
In (0.095, 0.001, 0.250)
In (0.905, 0.999, 0.750)
Cu (0.239, 0.880, 0.534)
Cu (0.359, 0.120, 0.966)
Cu (0.641, 0.880, 0.034)
Cu (0.761, 0.120, 0.466)
Sn (0.196, 0.587, 0.734)
Sn (0.390, 0.587, 0.234)
Sn (0.610, 0.413, 0.766)
Sn (0.804, 0.413, 0.266)

Output
- DOS(E_F) (states/eV/atom) = 0.26
- ΔH_f (0 K) (eV per formula unit) = 0.27
- total magnetization (μB/f.u.) = 0.00

---

9.
Density functional theory data (GGA-PBE) for a relaxed In2CuSn crystal.

a = 9.507 Å, b = 9.507 Å, c = 9.507 Å
α = 150.94°, β = 150.94°, γ = 41.56°
Atoms (fractional coordinates):
In (0.064, 0.625, 0.939)
In (0.375, 0.314, 0.439)
In (0.686, 0.125, 0.061)
In (0.875, 0.936, 0.561)
Cu (0.000, 0.000, 0.000)
Cu (0.750, 0.250, 0.500)
Sn (0.250, 0.750, 0.500)
Sn (0.500, 0.500, 0.000)

Output
- DOS(E_F) (states/eV/atom) = 0.45
- ΔH_f (0 K) (eV per formula unit) = 0.78
- total magnetization (μB/f.u.) = 0.00
- offset from the most stable computed form (meV per atom) = 122.6

---

10.
Density functional theory data (GGA-PBE) for a relaxed In3CuSn crystal.

a = 5.127 Å, b = 5.127 Å, c = 5.127 Å
α = 90.00°, β = 90.00°, γ = 90.00°
Atoms (fractional coordinates):
In (0.000, 0.000, 0.500)
In (0.000, 0.500, 0.000)
In (0.500, 0.000, 0.000)
Cu (0.000, 0.000, 0.000)
Sn (0.500, 0.500, 0.500)

Output
- DOS(E_F) (states/eV/atom) = 0.61
- ΔH_f (0 K) (eV per formula unit) = 0.93
- total magnetization (μB/f.u.) = 0.00
- offset from the most stable computed form (meV per atom) = 129.7

---

11.
Density functional theory data (GGA-PBE) for a relaxed InCu6Sn crystal.

a = 4.265 Å, b = 5.619 Å, c = 5.619 Å
α = 59.76°, β = 90.00°, γ = 90.00°
Atoms (fractional coordinates):
In (0.000, 0.000, 0.000)
Cu (0.000, 0.512, 0.977)
Cu (0.000, 0.513, 0.513)
Cu (0.000, 0.977, 0.512)
Cu (0.500, 0.357, 0.823)
Cu (0.500, 0.822, 0.822)
Cu (0.500, 0.823, 0.357)
Sn (0.500, 0.335, 0.335)

Output
- DOS(E_F) (states/eV/atom) = 0.36
- ΔH_f (0 K) (eV per formula unit) = 0.08
- total magnetization (μB/f.u.) = 0.00

---

12.
Density functional theory data (GGA-PBE) for a relaxed InCu3Sn crystal.

a = 4.913 Å, b = 4.913 Å, c = 4.913 Å
α = 90.00°, β = 90.00°, γ = 90.00°
Atoms (fractional coordinates):
In (0.000, 0.000, 0.000)
Cu (0.000, 0.500, 0.500)
Cu (0.500, 0.000, 0.500)
Cu (0.500, 0.500, 0.000)
Sn (0.500, 0.500, 0.500)

Output
- DOS(E_F) (states/eV/atom) = 0.17
- ΔH_f (0 K) (eV per formula unit) = 2.79
- total magnetization (μB/f.u.) = 0.00
- offset from the most stable computed form (meV per atom) = 0.0